{"formula": "CoP2OsO", "functional": "PBE with a Hubbard U", "state": "optimized geometry", "cell": [[4.5098, 0.0000, 0.0000], [0.0000, 4.5098, 0.0000], [0.0000, 0.0000, 3.2583]], "species": ["Co", "P", "P", "Os", "O"], "fractional_positions": [[0.0000, 0.0000, 0.0000], [0.0000, 0.5000, 0.0000], [0.5000, 0.0000, 0.0000], [0.5000, 0.5000, 0.5000], [0.0000, 0.0000, 0.5000]], "dos_at_fermi_per_ev_atom": 0.6649, "magmom_total_mub_per_cell": 0.7, "relative_energy_ev_per_atom": 0.201, "vol_a3_per_cell": 66}